The following is a PBE+U calculation of KEuSnWO6 after structural relaxation, from Alexandria.

Cell: 5.998 5.998 5.998 Å, 60.00 60.00 60.00°
Site moments in Bohr magnetons follow the coordinates.
Positions (direct):
1 K 0.750 0.750 0.750  0.00
2 Eu 0.000 0.000 0.000  6.19
3 Sn 0.250 0.250 0.250  0.01
4 W 0.500 0.500 0.500  0.03
5 O 0.270 0.730 0.270  -0.05
6 O 0.730 0.270 0.730  -0.05
7 O 0.270 0.730 0.730  -0.05
8 O 0.730 0.270 0.270  -0.05
9 O 0.270 0.270 0.730  -0.05
10 O 0.730 0.730 0.270  -0.05

Calculated values
D(E_F): 1.04 states/eV per atom
crystal system: cubic
total magnetization: 0.60 μB/atom
polymorph energy (0 for the lowest one): 9.9 meV/atom